1.
Density functional theory data (SCAN) for a PBEsol-optimized structure of Y2CuCl.

Unit cell a=3.1777 b=5.0577 c=5.0577 alpha=90.00 beta=90.00 gamma=90.00
Closest atoms and distances in Å follow each position.
Atoms (fractional coordinates):
Cu 0.5000 0.0000 0.0000  8 Y 2.99, 2 Cu 3.18
Y 0.0000 0.0000 0.5000  4 Cl 2.99, 4 Cu 2.99, 2 Y 3.18
Y 0.0000 0.5000 0.0000  4 Cl 2.99, 4 Cu 2.99, 2 Y 3.18
Cl 0.5000 0.5000 0.5000  8 Y 2.99, 2 Cl 3.18

Properties
Total moment   0.000 μB/atom
Formation energy (no corrections)   -0.624 eV/atom
N(E_F)   2.67 states/eV per cell



2.
Density functional theory data (SCAN) for a PBEsol-optimized structure of Li2Ge2Pt.

Unit cell a=3.9936 b=6.3222 c=6.3222 alpha=90.00 beta=90.00 gamma=90.00
Closest atoms and distances in Å follow each position.
Atoms (fractional coordinates):
Li 0.5000 0.6720 0.8280  6 Ge 2.63-2.80
Li 0.5000 0.3280 0.1720  6 Ge 2.63-2.80
Li 0.5000 0.8280 0.3280  6 Ge 2.63-2.80
Li 0.5000 0.1720 0.6720  6 Ge 2.63-2.80
Ge 0.0000 0.6362 0.1362  1 Ge 2.44, 2 Pt 2.46, 2 Li 2.63
Pt 0.0000 0.5000 0.5000  4 Ge 2.46
Pt 0.0000 0.0000 0.0000  4 Ge 2.46
Ge 0.0000 0.8638 0.6362  1 Ge 2.44, 2 Pt 2.46, 2 Li 2.63
Ge 0.0000 0.3638 0.8638  1 Ge 2.44, 2 Pt 2.46, 2 Li 2.63
Ge 0.0000 0.1362 0.3638  1 Ge 2.44, 2 Pt 2.46, 2 Li 2.63

Properties
Total moment   0.000 μB/atom
ΔE_f   -591 meV/atom
N(E_F)   3.32 states/eV per cell



3.
Density functional theory data (SCAN) for a PBEsol-optimized structure of Y2SnHgSb.

Unit cell a=5.5174 b=5.6406 c=5.6406 alpha=90.00 beta=90.00 gamma=90.00
Closest atoms and distances in Å follow each position.
Atoms (fractional coordinates):
Y 0.0000 0.5000 0.0000  2 Sn 2.82
Y 0.0000 0.0000 0.5000  2 Sn 2.82
Hg 0.5000 0.5000 0.5000  8 Y 3.95, 4 Sb 3.99
Sb 0.5000 0.0000 0.0000  2 Sn 2.76
Sn 0.0000 0.0000 0.0000  2 Sb 2.76, 4 Y 2.82

Properties
Total moment   0.000 μB/atom
Formation energy (no corrections)   0.185 eV/atom
N(E_F)   4.10 states/eV per cell



4.
Density functional theory data (SCAN) for a PBEsol-optimized structure of TeAsSeBr2.

Unit cell a=5.4677 b=5.4677 c=5.3663 alpha=90.00 beta=90.00 gamma=90.00
Closest atoms and distances in Å follow each position.
Atoms (fractional coordinates):
Br 0.0000 0.5000 0.0000  2 Te 2.73
Te 0.0000 0.0000 0.0000  2 Se 2.68, 4 Br 2.73
As 0.5000 0.5000 0.5000  8 Br 3.83, 4 Se 3.87
Se 0.0000 0.0000 0.5000  2 Te 2.68
Br 0.5000 0.0000 0.0000  2 Te 2.73

Properties
Total moment   0.448 μB/atom
Formation energy (no corrections)   0.505 eV/atom
N(E_F)   3.18 states/eV per cell



5.
Density functional theory data (SCAN) for a PBEsol-optimized structure of MoAsRhBr2.

Unit cell a=4.6148 b=5.0666 c=5.0666 alpha=90.00 beta=90.00 gamma=90.00
Closest atoms and distances in Å follow each position.
Atoms (fractional coordinates):
Rh 0.0000 0.0000 0.0000  2 As 2.31, 4 Br 2.53
Mo 0.5000 0.5000 0.5000  8 Br 3.43, 4 As 3.58
Br 0.0000 0.5000 0.0000  2 Rh 2.53
Br 0.0000 0.0000 0.5000  2 Rh 2.53
As 0.5000 0.0000 0.0000  2 Rh 2.31

Properties
Total moment   0.854 μB/atom
Formation energy (no corrections)   0.741 eV/atom
N(E_F)   2.67 states/eV per cell



6.
Density functional theory data (SCAN) for a PBEsol-optimized structure of NiTe2Cl.

Unit cell a=4.7867 b=4.7867 c=4.7867 alpha=60.00 beta=60.00 gamma=60.00
Closest atoms and distances in Å follow each position.
Atoms (fractional coordinates):
Te 0.2500 0.2500 0.2500  4 Ni 2.93, 4 Cl 2.93
Te 0.7500 0.7500 0.7500  4 Cl 2.93, 4 Ni 2.93
Ni 0.0000 0.0000 0.0000  8 Te 2.93
Cl 0.5000 0.5000 0.5000  8 Te 2.93

Properties
Total moment   0.000 μB/atom
Formation energy (no corrections)   0.351 eV/atom
N(E_F)   2.54 states/eV per cell



7.
Density functional theory data (SCAN) for a PBEsol-optimized structure of CaTiTc3.

Unit cell a=4.4447 b=4.4447 c=4.4447 alpha=90.00 beta=90.00 gamma=90.00
Closest atoms and distances in Å follow each position.
Atoms (fractional coordinates):
Ca 0.0000 0.0000 0.0000  6 Tc 2.22
Tc 0.0000 0.0000 0.5000  2 Ca 2.22
Tc 0.5000 0.0000 0.0000  2 Ca 2.22
Tc 0.0000 0.5000 0.0000  2 Ca 2.22
Ti 0.5000 0.5000 0.5000  12 Tc 3.14

Properties
Total moment   0.000 μB/atom
ΔE_f   2379 meV/atom
N(E_F)   6.01 states/eV per cell



8.
Density functional theory data (SCAN) for a PBEsol-optimized structure of CrAs2S.

Unit cell a=5.5886 b=5.5886 c=6.7815 alpha=114.33 beta=114.33 gamma=90.00
Closest atoms and distances in Å follow each position.
Atoms (fractional coordinates):
Cr 0.2500 0.7500 0.5000  4 As 2.31
Cr 0.0000 0.0000 0.0000  4 As 2.31
S 0.5000 0.5000 0.0000  4 As 2.52
As 0.9066 0.3750 0.2500  2 Cr 2.31, 2 S 2.52
As 0.6250 0.6566 0.7500  2 Cr 2.31, 2 S 2.52
S 0.7500 0.2500 0.5000  4 As 2.52
As 0.3434 0.8750 0.2500  2 Cr 2.31, 2 S 2.52
As 0.1250 0.0934 0.7500  2 Cr 2.31, 2 S 2.52

Properties
Total moment   0.810 μB/atom
Formation energy (no corrections)   0.344 eV/atom
N(E_F)   7.29 states/eV per cell